(1)
First-principles (GGA-PBEsol) data for a geometry-optimized LiBi3Br2O4 structure, as listed in the Alexandria database.

Total energy (eV per atom): -5.312
Calculated density (g/cm3): 7.64
ΔE to the lowest computed polymorph (meV/atom): 3
Magnetic moment (μB/cell): 0.00
Formation energy (no corrections) (kJ/mol of atoms): -130.84
Space group: Amm2, No. 38

Lattice parameters (Å, degrees): 5.485 6.772 6.772 47.82 90.00 90.00
Positions (direct):
1 Li 0.000 0.000 0.000
2 Bi 0.000 0.358 0.358
3 Bi 0.500 0.545 0.545
4 Bi 0.500 0.861 0.861
5 Br 0.000 0.711 0.711
6 Br 0.500 0.203 0.203
7 O 0.252 0.205 0.700
8 O 0.252 0.700 0.205
9 O 0.748 0.205 0.700
10 O 0.748 0.700 0.205

(2)
First-principles (GGA-PBEsol) data for a geometry-optimized LiBi3Br2O4 structure, as listed in the Alexandria database.

Total energy (eV per atom): -5.315
Calculated density (g/cm3): 7.61
ΔE to the lowest computed polymorph (meV/atom): 0
Magnetic moment (μB/cell): 0.00
Formation energy (no corrections) (kJ/mol of atoms): -131.09
Space group: Cmcm, No. 63

Lattice parameters (Å, degrees): 6.814 6.814 10.938 90.00 90.00 132.54
Positions (direct):
1 Li 0.213 0.787 0.750
2 Li 0.787 0.213 0.250
3 Bi 0.148 0.852 0.250
4 Bi 0.342 0.658 0.007
5 Bi 0.342 0.658 0.493
6 Bi 0.658 0.342 0.507
7 Bi 0.658 0.342 0.993
8 Bi 0.852 0.148 0.750
9 Br 0.000 0.000 0.000
10 Br 0.000 0.000 0.500
11 Br 0.495 0.505 0.750
12 Br 0.505 0.495 0.250
13 O 0.005 0.490 0.624
14 O 0.005 0.490 0.876
15 O 0.490 0.005 0.124
16 O 0.490 0.005 0.376
17 O 0.510 0.995 0.624
18 O 0.510 0.995 0.876
19 O 0.995 0.510 0.124
20 O 0.995 0.510 0.376

(3)
First-principles (GGA-PBEsol) data for a geometry-optimized LiBiRhBr2 structure, as listed in the Alexandria database.

Total energy (eV per atom): -3.238
Calculated density (g/cm3): 6.68
Magnetic moment (μB/cell): 1.02
Formation energy (no corrections) (kJ/mol of atoms): 37.48
Space group: P4/mmm, No. 123

Lattice parameters (Å, degrees): 4.433 4.433 6.058 90.00 90.00 90.00
Positions (direct):
1 Li 0.000 0.000 0.000
2 Bi 0.000 0.000 0.500
3 Rh 0.500 0.500 0.500
4 Br 0.000 0.500 0.000
5 Br 0.500 0.000 0.000

(4)
First-principles (GGA-PBEsol) data for a geometry-optimized MnBiBr2 structure, as listed in the Alexandria database.

Total energy (eV per atom): -4.427
Calculated density (g/cm3): 6.40
Magnetic moment (μB/cell): 11.35
Formation energy (no corrections) (kJ/mol of atoms): 1.92
Space group: I-42d, No. 122

Lattice parameters (Å, degrees): 8.970 8.970 5.465 90.00 90.00 90.00
Positions (direct):
1 Mn 0.000 0.000 0.000
2 Mn 0.000 0.500 0.250
3 Mn 0.500 0.000 0.750
4 Mn 0.500 0.500 0.500
5 Bi 0.000 0.000 0.500
6 Bi 0.000 0.500 0.750
7 Bi 0.500 0.000 0.250
8 Bi 0.500 0.500 0.000
9 Br 0.116 0.250 0.125
10 Br 0.250 0.616 0.375
11 Br 0.250 0.884 0.875
12 Br 0.384 0.250 0.625
13 Br 0.616 0.750 0.625
14 Br 0.750 0.116 0.875
15 Br 0.750 0.384 0.375
16 Br 0.884 0.750 0.125

(5)
First-principles (GGA-PBEsol) data for a geometry-optimized BiMoBr3 structure, as listed in the Alexandria database.

Total energy (eV per atom): -3.571
Calculated density (g/cm3): 4.93
Magnetic moment (μB/cell): 5.46
Formation energy (no corrections) (kJ/mol of atoms): 73.48
Space group: Pm-3m, No. 221

Lattice parameters (Å, degrees): 5.681 5.681 5.681 90.00 90.00 90.00
Positions (direct):
1 Bi 0.000 0.000 0.000
2 Mo 0.500 0.500 0.500
3 Br 0.000 0.000 0.500
4 Br 0.000 0.500 0.000
5 Br 0.500 0.000 0.000

(6)
First-principles (GGA-PBEsol) data for a geometry-optimized BiSb2MoBr structure, as listed in the Alexandria database.

Total energy (eV per atom): -4.179
Calculated density (g/cm3): 7.42
Magnetic moment (μB/cell): 1.08
Formation energy (no corrections) (kJ/mol of atoms): 118.56
Space group: P4/mmm, No. 123

Lattice parameters (Å, degrees): 5.528 5.528 4.603 90.00 90.00 90.00
Positions (direct):
1 Bi 0.000 0.000 0.000
2 Sb 0.000 0.500 0.500
3 Sb 0.500 0.000 0.500
4 Mo 0.500 0.500 0.000
5 Br 0.500 0.500 0.500

(7)
First-principles (GGA-PBEsol) data for a geometry-optimized SiBiMoBr2 structure, as listed in the Alexandria database.

Total energy (eV per atom): -4.540
Calculated density (g/cm3): 6.71
Magnetic moment (μB/cell): 1.50
Formation energy (no corrections) (kJ/mol of atoms): 54.85
Space group: P4/mmm, No. 123

Lattice parameters (Å, degrees): 4.880 4.880 5.125 90.00 90.00 90.00
Positions (direct):
1 Si 0.000 0.000 0.000
2 Bi 0.500 0.500 0.000
3 Mo 0.000 0.000 0.500
4 Br 0.000 0.500 0.500
5 Br 0.500 0.000 0.500

(8)
First-principles (GGA-PBEsol) data for a geometry-optimized BiBr2N2 structure, as listed in the Alexandria database.

Total energy (eV per atom): -3.459
Calculated density (g/cm3): 6.37
Magnetic moment (μB/cell): 0.00
Formation energy (no corrections) (kJ/mol of atoms): 150.16
Space group: P4/mbm, No. 127

Lattice parameters (Å, degrees): 7.619 7.619 3.563 90.00 90.00 90.00
Positions (direct):
1 Bi 0.000 0.000 0.000
2 Bi 0.500 0.500 0.000
3 Br 0.156 0.344 0.000
4 Br 0.344 0.844 0.000
5 Br 0.656 0.156 0.000
6 Br 0.844 0.656 0.000
7 N 0.244 0.256 0.500
8 N 0.256 0.756 0.500
9 N 0.744 0.244 0.500
10 N 0.756 0.744 0.500